DFT (PBE) results for a relaxed MgTc2H2 crystal.

Calculated volume ... 52.6 Å³ per cell
Electronic total energy ... -5.70 eV per atom

abc: 3.221 3.221 5.554
angles: 73.14 73.14 90.00
Positions (direct):
Tc  0.666  0.666  0.669
H  0.250  0.750  0.500
Mg  0.000  0.000  0.000
H  0.750  0.250  0.500
Tc  0.334  0.334  0.331

DFT (PBE) results for a relaxed MgTcH crystal.

Calculated volume ... 36.2 Å³ per cell
Excess energy over the best structure of this formula in the dataset ... 62 meV/atom
Electronic total energy ... -5.00 eV per atom

abc: 3.008 3.008 4.623
angles: 90.00 90.00 120.00
Positions (direct):
Mg  0.000  0.000  0.826
H  0.000  0.000  0.400
Tc  0.333  0.667  0.305

DFT (PBE) results for a relaxed MgTcH3 crystal.

Calculated volume ... 42.7 Å³ per cell
Excess energy over the best structure of this formula in the dataset ... 0 meV/atom
Electronic total energy ... -4.47 eV per atom

abc: 3.495 3.495 3.495
angles: 90.00 90.00 90.00
Positions (direct):
H  0.500  0.000  0.000
H  0.000  0.500  0.000
Mg  0.500  0.500  0.500
Tc  0.000  0.000  0.000
H  0.000  0.000  0.500

DFT (PBE) results for a relaxed Mg2TcH8 crystal.

Calculated volume ... 84.3 Å³ per cell
Electronic total energy ... -3.64 eV per atom

abc: 2.933 4.302 7.190
angles: 107.93 101.77 90.00
Last column: magnetic moment on the atom in μB.
Positions (direct):
H  0.757  0.760  0.514  0.00
H  0.605  0.347  0.210  0.00
H  0.607  0.878  0.213  0.00
Mg  0.165  0.673  0.330  0.00
H  0.395  0.653  0.790  0.00
H  0.000  0.753  0.000  -0.01
H  0.000  0.247  0.000  -0.01
Mg  0.835  0.327  0.670  0.00
H  0.243  0.240  0.486  0.00
Tc  0.500  0.000  0.000  0.73
H  0.393  0.122  0.787  0.00

Question: Which value of electronic total energy does entry 1 give?
Answer: -5.70 eV per atom

Question: The highest calculated volume belongs to which entry?
Answer: Mg2TcH8

Please write out number 4 again, unchanged.
DFT (PBE) results for a relaxed Mg2TcH8 crystal.

Calculated volume ... 84.3 Å³ per cell
Electronic total energy ... -3.64 eV per atom

abc: 2.933 4.302 7.190
angles: 107.93 101.77 90.00
Last column: magnetic moment on the atom in μB.
Positions (direct):
H  0.757  0.760  0.514  0.00
H  0.605  0.347  0.210  0.00
H  0.607  0.878  0.213  0.00
Mg  0.165  0.673  0.330  0.00
H  0.395  0.653  0.790  0.00
H  0.000  0.753  0.000  -0.01
H  0.000  0.247  0.000  -0.01
Mg  0.835  0.327  0.670  0.00
H  0.243  0.240  0.486  0.00
Tc  0.500  0.000  0.000  0.73
H  0.393  0.122  0.787  0.00